The following is a PBE calculation of an optimized crystal structure of La6Nd, from the Alexandria database.

Output
The energy of formation is 0.8409 eV per atom. The energy above the lowest structure with this stoichiometry is 16.98 kcal/mol of atoms. The final energy comes out at -4.064 eV/atom.

a b c (Å): 7.1223 7.1223 7.1223
angles (deg): 109.47 109.47 109.47
Fractional positions:
La  0.7500  0.5000  0.2500
La  0.2500  0.7500  0.5000
La  0.7500  0.2500  0.5000
La  0.5000  0.7500  0.2500
La  0.5000  0.2500  0.7500
La  0.2500  0.5000  0.7500
Nd  0.0000  0.0000  0.0000